Computed, not measured: crystalline SmSbRhSe at its relaxed geometry at the PBE level of DFT.

The structure in POSCAR format:
```
SmSbRhSe
1.0
4.7243 0.0000 0.0000
0.0000 4.7243 0.0000
0.0000 0.0000 8.5376
Sm Sb Rh Se
2 2 2 2
Direct
0.2500 0.2500 0.1931
0.7500 0.7500 0.8069
0.2500 0.2500 0.6432
0.7500 0.7500 0.3568
0.2500 0.7500 0.5000
0.7500 0.2500 0.5000
0.2500 0.7500 0.0000
0.7500 0.2500 0.0000
```

* E_form (uncorrected): -0.9957 eV/atom
* magnetic moment: 0.00 μB/f.u.
* V: 190.5 Å³/cell